# SrWO2F

SrWO2F after structural relaxation (PBE with a Hubbard U, the Alexandria database).

* electronic total energy: -6.396 eV/atom

a b c (Å): 4.269 4.269 4.176
angles (deg): 90.00 90.00 90.00
Fractional coordinates of all 5 atoms:
Sr 0.000 0.000 0.000
W 0.500 0.500 0.500
O 0.000 0.500 0.500
O 0.500 0.000 0.500
F 0.500 0.500 0.000